A relaxed FeSi crystal. Source: the Alexandria database, functional PBE.

Values from the calculation:
V = 11.64 Å³ per atom
magnetic moment = 1.32 μB per cell
formation energy from raw total energies = -0.033 kcal/mol of atoms
N(E_F) = 3.32 states/eV per cell

Lattice parameters (Å, degrees): 2.5645 2.5645 7.0799 90.00 90.00 90.00
With the nearest neighbours (Å) after each atom.
Space group P4/nmm (No. 129, origin choice 2)
Unique sites:
Fe (0.2500, 0.2500, 0.1140)  4 Si 2.42, 8 Fe 2.43-2.56
Si (0.2500, 0.2500, 0.6607)  4 Fe 2.42, 4 Si 2.56